No. 1
Here is crystalline SmScN at its relaxed geometry from the Alexandria database. Energies are from GGA-PBE.

Cell: 5.9662 3.3855 3.3855 Å, 120.00 90.00 90.00°
Closest atoms and distances in Å follow each position.
Fractional coordinates of all 3 atoms:
Sm 0.1000 0.0000 0.0000  3 N 2.51
N 0.3636 0.3333 0.6667  3 Sc 2.21
Sc 0.5365 0.6667 0.3333  3 N 2.21

Output
Energy relative to the elements, uncorrected = -1.017 eV/atom
Energy above the most stable polymorph in this dataset = 0.0 kJ/mol of atoms
DOS at the Fermi energy = 1.053 states/eV per atom

***

No. 2
Here is crystalline Sm2Sc4N at its relaxed geometry from the Alexandria database. Energies are from GGA-PBE.

Cell: 4.4148 4.4148 9.4942 Å, 76.56 76.56 90.00°
Closest atoms and distances in Å follow each position.
Fractional coordinates of all 7 atoms:
N 0.0000 0.0000 0.0000  6 Sc 2.18-2.21
Sc 0.5000 0.0000 0.0000  2 N 2.21
Sc 0.8782 0.8782 0.2436  1 N 2.18
Sc 0.1218 0.1218 0.7564  1 N 2.18
Sc 0.0000 0.5000 0.0000  2 N 2.21
Sm 0.6828 0.6828 0.6344  5 Sc 3.31-3.50
Sm 0.3172 0.3172 0.3656  5 Sc 3.31-3.50

Output
Energy relative to the elements, uncorrected = -0.353 eV/atom
DOS at the Fermi energy = 1.954 states/eV per atom

***

No. 3
Here is crystalline SmSc2N at its relaxed geometry from the Alexandria database. Energies are from GGA-PBE.

Cell: 2.9941 2.9941 8.4324 Å, 90.00 90.00 90.00°
Closest atoms and distances in Å follow each position.
Fractional coordinates of all 4 atoms:
Sc 0.0000 0.0000 0.1510  4 N 2.47, 1 Sc 2.55
Sc 0.0000 0.0000 0.8490  4 N 2.47, 1 Sc 2.55
Sm 0.5000 0.5000 0.5000  4 Sm 2.99
N 0.5000 0.5000 0.0000  8 Sc 2.47

Output
Energy relative to the elements, uncorrected = -0.261 eV/atom
Energy above the most stable polymorph in this dataset = 52.5 kJ/mol of atoms
DOS at the Fermi energy = 1.219 states/eV per atom

***

No. 4
Here is crystalline SmScN at its relaxed geometry from the Alexandria database. Energies are from GGA-PBE.

Cell: 3.1353 3.0664 12.0825 Å, 82.71 90.00 90.00°
Closest atoms and distances in Å follow each position.
Fractional coordinates of all 6 atoms:
N 0.7500 0.0921 0.8158  4 Sc 2.25
N 0.2500 0.9079 0.1842  4 Sc 2.25
Sm 0.7500 0.6856 0.6288  2 N 2.72
Sm 0.2500 0.3144 0.3713  2 N 2.72
Sc 0.2500 0.5717 0.8565  4 N 2.25
Sc 0.7500 0.4283 0.1435  4 N 2.25

Output
Energy relative to the elements, uncorrected = -0.707 eV/atom
Energy above the most stable polymorph in this dataset = 29.9 kJ/mol of atoms
DOS at the Fermi energy = 0.654 states/eV per atom

***

No. 5
Here is crystalline Sm2ScN at its relaxed geometry from the Alexandria database. Energies are from GGA-PBE.

Cell: 3.4886 3.4886 9.4596 Å, 79.37 79.37 60.00°
Closest atoms and distances in Å follow each position.
Fractional coordinates of all 4 atoms:
Sm 0.1169 0.1169 0.6494  3 N 2.44
Sm 0.8831 0.8831 0.3506  3 N 2.44
Sc 0.0000 0.0000 0.0000  2 Sm 3.24, 6 Sc 3.49
N 0.5000 0.5000 0.5000  6 Sm 2.44

Output
Energy relative to the elements, uncorrected = -0.528 eV/atom
DOS at the Fermi energy = 1.285 states/eV per atom

***

No. 6
Here is crystalline SmSc2TcN4 at its relaxed geometry from the Alexandria database. Energies are from GGA-PBE.

Cell: 3.3254 5.8610 11.0264 Å, 90.00 90.00 106.48°
Closest atoms and distances in Å follow each position.
Fractional coordinates of all 16 atoms:
Sc 0.3688 0.7375 0.9630  3 N 2.12-2.26
Sc 0.6312 0.2625 0.0370  3 N 2.12-2.26
Sc 0.3688 0.7375 0.5370  3 N 2.12-2.26
Sc 0.6312 0.2625 0.4630  3 N 2.12-2.26
N 0.2599 0.5199 0.1195  1 Tc 2.00, 1 Sc 2.12
N 0.5479 0.0957 0.2500  2 Tc 1.94
N 0.7401 0.4801 0.6195  1 Tc 2.00, 1 Sc 2.12
N 0.2599 0.5199 0.3805  1 Tc 2.00, 1 Sc 2.12
N 0.4521 0.9043 0.7500  2 Tc 1.94
N 0.7401 0.4801 0.8805  1 Tc 2.00, 1 Sc 2.12
N 0.0000 0.0000 0.0000  4 Sc 2.26
N 0.0000 0.0000 0.5000  4 Sc 2.26
Sm 0.8753 0.7507 0.2500  6 N 2.55
Sm 0.1247 0.2493 0.7500  6 N 2.55
Tc 0.1370 0.2739 0.2500  4 N 1.94-2.00
Tc 0.8630 0.7261 0.7500  4 N 1.94-2.00

Output
Energy relative to the elements, uncorrected = -1.161 eV/atom
DOS at the Fermi energy = 0.201 states/eV per atom

***

No. 7
Here is crystalline SmScTiN3 at its relaxed geometry from the Alexandria database. Energies are from GGA-PBE.

Cell: 3.2966 6.8414 7.9341 Å, 96.24 90.00 90.00°
Closest atoms and distances in Å follow each position.
Fractional coordinates of all 12 atoms:
N 0.2500 0.5856 0.8643  3 Sc 2.05-2.25
N 0.2500 0.8248 0.5374  3 Ti 1.97-2.08
N 0.7500 0.4144 0.1357  3 Sc 2.05-2.25
N 0.7500 0.1752 0.4626  3 Ti 1.97-2.08
N 0.2500 0.1337 0.8401  1 Ti 1.98
N 0.7500 0.8663 0.1599  1 Ti 1.98
Sm 0.2500 0.1661 0.1916  6 N 2.44-2.70
Sm 0.7500 0.8339 0.8084  6 N 2.44-2.70
Ti 0.2500 0.1293 0.5897  4 N 1.97-2.08
Ti 0.7500 0.8707 0.4103  4 N 1.97-2.08
Sc 0.7500 0.3648 0.8767  5 N 2.05-2.28
Sc 0.2500 0.6352 0.1233  5 N 2.05-2.28

Output
Energy relative to the elements, uncorrected = -1.388 eV/atom
DOS at the Fermi energy = 0.160 states/eV per atom

***

No. 8
Here is crystalline SmZr2ScN4 at its relaxed geometry from the Alexandria database. Energies are from GGA-PBE.

Cell: 6.6549 6.6549 6.6346 Å, 119.90 119.90 90.00°
Closest atoms and distances in Å follow each position.
Fractional coordinates of all 16 atoms:
Zr 0.5000 0.5000 0.0000  6 N 2.35
Zr 0.5000 0.0000 0.5000  6 N 2.27
Zr 0.5000 0.0000 0.0000  6 N 2.27
Zr 0.0000 0.0000 0.5000  6 N 2.35
Sc 0.5000 0.5000 0.5000  6 N 2.36
Sc 0.0000 0.0000 0.0000  6 N 2.36
N 0.2586 0.2414 0.9995  3 Zr 2.27-2.35, 2 Sc 2.36, 1 Sm 2.43
N 0.7327 0.2314 0.4820  3 Zr 2.27-2.35, 1 Sc 2.36, 2 Sm 2.44
N 0.7414 0.7586 0.0005  3 Zr 2.27-2.35, 2 Sc 2.36, 1 Sm 2.43
N 0.2686 0.7673 0.0180  3 Zr 2.27-2.35, 1 Sc 2.36, 2 Sm 2.44
N 0.7314 0.2327 0.9820  3 Zr 2.27-2.35, 1 Sc 2.36, 2 Sm 2.44
N 0.2673 0.7686 0.5180  3 Zr 2.27-2.35, 1 Sc 2.36, 2 Sm 2.44
N 0.2586 0.2414 0.5005  3 Zr 2.27-2.35, 2 Sc 2.36, 1 Sm 2.43
N 0.7414 0.7586 0.4995  3 Zr 2.27-2.35, 2 Sc 2.36, 1 Sm 2.43
Sm 0.0000 0.5000 0.5000  6 N 2.43-2.44
Sm 0.0000 0.5000 0.0000  6 N 2.43-2.44

Output
Energy relative to the elements, uncorrected = -1.677 eV/atom
DOS at the Fermi energy = 0.352 states/eV per atom

***

No. 9
Here is crystalline Sc2SnN at its relaxed geometry from the Alexandria database. Energies are from GGA-PBE.

Cell: 3.3102 3.3101 7.5036 Å, 102.75 90.00 120.00°
Closest atoms and distances in Å follow each position.
Fractional coordinates of all 4 atoms:
Sn 0.5000 0.5000 0.0000  6 Sc 3.10, 6 Sn 3.31
Sc 0.7211 0.9422 0.6631  3 N 2.25
Sc 0.2789 0.0578 0.3369  3 N 2.25
N 0.0000 0.5000 0.5000  6 Sc 2.25

Output
Energy relative to the elements, uncorrected = -1.277 eV/atom
DOS at the Fermi energy = 0.228 states/eV per atom

***

No. 10
Here is crystalline Sc2SnN at its relaxed geometry from the Alexandria database. Energies are from GGA-PBE.

Cell: 7.7528 7.7528 7.7528 Å, 31.21 31.21 31.21°
Closest atoms and distances in Å follow each position.
Fractional coordinates of all 4 atoms:
Sc 0.0839 0.0839 0.0839  1 N 1.86
Sc 0.9161 0.9161 0.9161  1 N 1.86
Sn 0.5000 0.5000 0.5000  6 Sc 3.02
N 0.0000 0.0000 0.0000  2 Sc 1.86

Output
Energy relative to the elements, uncorrected = -0.281 eV/atom
DOS at the Fermi energy = 0.485 states/eV per atom

***

No. 11
Here is crystalline ScSnN at its relaxed geometry from the Alexandria database. Energies are from GGA-PBE.

Cell: 3.9698 3.1224 9.3744 Å, 80.41 90.00 90.00°
Closest atoms and distances in Å follow each position.
Fractional coordinates of all 6 atoms:
N 0.7500 0.0152 0.9695  2 N 2.06, 2 Sc 2.08
N 0.2500 0.9848 0.0305  2 N 2.06, 2 Sc 2.08
Sc 0.7500 0.4412 0.1176  2 N 2.08
Sc 0.2500 0.5588 0.8824  2 N 2.08
Sn 0.2500 0.3012 0.3976  6 Sn 3.12-3.16, 2 Sc 3.26
Sn 0.7500 0.6988 0.6024  6 Sn 3.12-3.16, 2 Sc 3.26

Output
Energy relative to the elements, uncorrected = -0.197 eV/atom
DOS at the Fermi energy = 0.254 states/eV per atom

***

No. 12
Here is crystalline Sc4SnN at its relaxed geometry from the Alexandria database. Energies are from GGA-PBE.

Cell: 5.4404 6.4228 7.5782 Å, 105.26 111.04 90.00°
Closest atoms and distances in Å follow each position.
Fractional coordinates of all 12 atoms:
Sc 0.7574 0.3174 0.6061  2 N 2.24-2.26
Sc 0.1513 0.1826 0.3939  2 N 2.24-2.26
Sc 0.4603 0.0692 0.7870  1 N 2.19
Sc 0.3265 0.5692 0.7870  1 N 2.19
Sc 0.2426 0.6826 0.3939  2 N 2.24-2.26
Sc 0.8487 0.8174 0.6061  2 N 2.24-2.26
Sc 0.6735 0.4308 0.2130  1 N 2.19
Sc 0.5397 0.9308 0.2130  1 N 2.19
N 0.0000 0.5000 0.5000  6 Sc 2.19-2.26
N 0.5000 0.0000 0.5000  6 Sc 2.19-2.26
Sn 0.9165 0.7500 0.0000  8 Sc 3.02-3.34, 2 Sn 3.34
Sn 0.0835 0.2500 0.0000  8 Sc 3.02-3.34, 2 Sn 3.34

Output
Energy relative to the elements, uncorrected = -0.827 eV/atom
DOS at the Fermi energy = 1.144 states/eV per atom

***

No. 13
Here is crystalline Sc5Sn2N at its relaxed geometry from the Alexandria database. Energies are from GGA-PBE.

Cell: 4.6003 8.0376 11.2977 Å, 90.00 90.00 106.63°
Closest atoms and distances in Å follow each position.
Fractional coordinates of all 16 atoms:
Sc 0.2714 0.5428 0.4131  1 N 2.29
Sc 0.7286 0.4572 0.5869  1 N 2.29
Sc 0.6955 0.3910 0.2500  2 N 2.31
Sc 0.7286 0.4572 0.9131  1 N 2.29
Sc 0.0756 0.1512 0.3793  1 N 2.21
Sc 0.2714 0.5428 0.0869  1 N 2.29
Sc 0.0756 0.1512 0.1207  1 N 2.21
Sc 0.9244 0.8488 0.8793  1 N 2.21
Sc 0.9244 0.8488 0.6207  1 N 2.21
Sc 0.3045 0.6090 0.7500  2 N 2.31
Sn 0.8801 0.7602 0.3777  4 Sc 2.83-3.01, 1 Sn 2.88
Sn 0.8801 0.7602 0.1223  4 Sc 2.83-3.01, 1 Sn 2.88
Sn 0.1199 0.2398 0.6223  4 Sc 2.83-3.01, 1 Sn 2.88
Sn 0.1199 0.2398 0.8777  4 Sc 2.83-3.01, 1 Sn 2.88
N 0.1834 0.3668 0.2500  6 Sc 2.21-2.31
N 0.8166 0.6332 0.7500  6 Sc 2.21-2.31

Output
Energy relative to the elements, uncorrected = -0.366 eV/atom
DOS at the Fermi energy = 1.324 states/eV per atom

***

No. 14
Here is crystalline ScSnN2 at its relaxed geometry from the Alexandria database. Energies are from GGA-PBE.

Cell: 5.0572 5.0572 6.1575 Å, 65.75 65.75 90.00°
Closest atoms and distances in Å follow each position.
Fractional coordinates of all 8 atoms:
Sc 0.2500 0.7500 0.5000  4 N 2.13
Sc 0.5000 0.5000 0.0000  4 N 2.13
N 0.8750 0.8571 0.7500  2 Sc 2.13, 2 Sn 2.24
N 0.6071 0.1250 0.2500  2 Sc 2.13, 2 Sn 2.24
N 0.1429 0.6250 0.2500  2 Sc 2.13, 2 Sn 2.24
N 0.3750 0.3929 0.7500  2 Sc 2.13, 2 Sn 2.24
Sn 0.7500 0.2500 0.5000  4 N 2.24
Sn 0.0000 0.0000 0.0000  4 N 2.24

Output
Energy relative to the elements, uncorrected = -0.497 eV/atom
DOS at the Fermi energy = 0.685 states/eV per atom

***

No. 15
Here is crystalline Sc2SnN at its relaxed geometry from the Alexandria database. Energies are from GGA-PBE.

Cell: 4.7204 4.7204 4.7204 Å, 60.00 60.00 60.00°
Closest atoms and distances in Å follow each position.
Fractional coordinates of all 4 atoms:
Sc 0.2500 0.2500 0.2500  4 N 2.89, 4 Sn 2.89
Sc 0.7500 0.7500 0.7500  4 Sn 2.89, 4 N 2.89
N 0.0000 0.0000 0.0000  8 Sc 2.89
Sn 0.5000 0.5000 0.5000  8 Sc 2.89

Output
Energy relative to the elements, uncorrected = 0.180 eV/atom
DOS at the Fermi energy = 1.044 states/eV per atom

***

No. 16
Here is crystalline Sc2SnN at its relaxed geometry from the Alexandria database. Energies are from GGA-PBE.

Cell: 6.5127 6.5127 5.9866 Å, 57.05 57.05 90.00°
Closest atoms and distances in Å follow each position.
Fractional coordinates of all 8 atoms:
Sc 0.3750 0.4897 0.7500  2 N 2.08
Sc 0.5103 0.1250 0.2500  2 N 2.08
Sc 0.8750 0.7603 0.7500  2 N 2.08
Sc 0.2397 0.6250 0.2500  2 N 2.08
Sn 0.7500 0.2500 0.5000  4 Sc 3.03
Sn 0.0000 0.0000 0.0000  4 Sc 3.03
N 0.2500 0.7500 0.5000  4 Sc 2.08
N 0.5000 0.5000 0.0000  4 Sc 2.08

Output
Energy relative to the elements, uncorrected = -0.907 eV/atom
DOS at the Fermi energy = 1.095 states/eV per atom

***

No. 17
Here is crystalline SrSc2SnN at its relaxed geometry from the Alexandria database. Energies are from GGA-PBE.

Cell: 4.5569 4.5569 5.0880 Å, 90.00 90.00 90.00°
Closest atoms and distances in Å follow each position.
Fractional coordinates of all 5 atoms:
Sc 0.5000 0.0000 0.0000  2 N 2.28
Sc 0.0000 0.5000 0.0000  2 N 2.28
N 0.0000 0.0000 0.0000  4 Sc 2.28, 2 Sr 2.54
Sr 0.0000 0.0000 0.5000  2 N 2.54
Sn 0.5000 0.5000 0.5000  4 Sr 3.22, 8 Sc 3.42

Output
Energy relative to the elements, uncorrected = -0.880 eV/atom
DOS at the Fermi energy = 0.483 states/eV per atom

***

No. 18
Here is crystalline Sc2TaSnN at its relaxed geometry from the Alexandria database. Energies are from GGA-PBE.

Cell: 4.5758 4.5758 4.1429 Å, 90.00 90.00 90.00°
Closest atoms and distances in Å follow each position.
Fractional coordinates of all 5 atoms:
N 0.0000 0.0000 0.0000  2 Ta 2.07, 4 Sc 2.29
Sc 0.0000 0.5000 0.0000  2 N 2.29
Sc 0.5000 0.0000 0.0000  2 N 2.29
Sn 0.5000 0.5000 0.5000  8 Sc 3.09, 4 Ta 3.24
Ta 0.0000 0.0000 0.5000  2 N 2.07

Output
Energy relative to the elements, uncorrected = -0.854 eV/atom
DOS at the Fermi energy = 0.792 states/eV per atom

***

No. 19
Here is crystalline ScSnTeN2 at its relaxed geometry from the Alexandria database. Energies are from GGA-PBE.

Cell: 4.2749 4.2749 5.8746 Å, 90.00 90.00 90.00°
Closest atoms and distances in Å follow each position.
Fractional coordinates of all 5 atoms:
N 0.0000 0.5000 0.0000  2 Sc 2.14
N 0.5000 0.0000 0.0000  2 Sc 2.14
Sc 0.0000 0.0000 0.0000  4 N 2.14
Te 0.0000 0.0000 0.5000  2 Sc 2.94, 4 Sn 3.02
Sn 0.5000 0.5000 0.5000  4 Te 3.02

Output
Energy relative to the elements, uncorrected = 0.528 eV/atom
Energy above the most stable polymorph in this dataset = 0.0 kJ/mol of atoms
DOS at the Fermi energy = 0.672 states/eV per atom

***

No. 20
Here is crystalline ScSnTe2N at its relaxed geometry from the Alexandria database. Energies are from GGA-PBE.

Cell: 5.7644 5.7644 3.9607 Å, 90.00 90.00 90.00°
Closest atoms and distances in Å follow each position.
Fractional coordinates of all 5 atoms:
N 0.0000 0.0000 0.5000  2 Sn 1.98
Te 0.0000 0.5000 0.0000  2 Sn 2.88
Te 0.5000 0.0000 0.0000  2 Sn 2.88
Sn 0.0000 0.0000 0.0000  2 N 1.98
Sc 0.5000 0.5000 0.5000  8 Te 3.50

Output
Energy relative to the elements, uncorrected = 0.409 eV/atom
Energy above the most stable polymorph in this dataset = 41.8 kJ/mol of atoms
DOS at the Fermi energy = 0.687 states/eV per atom

***

The size of the total moment results, record by record, are as follows: 0.15, 0.00, 0.00, 0.00, 0.00, 0.00, 0.00, 0.00, 0.00, 0.00, 0.00, 0.00, 0.00, 0.00, 0.00, 0.00, 0.00, 0.00, 0.35, 0.14 μB per atom.
The electronic total energy results, record by record, are as follows: -7.4753, -6.5089, -6.6875, -7.1656, -6.5519, -8.7920, -8.7080, -9.3582, -7.5250, -6.5286, -6.4167, -7.1029, -6.3641, -7.2437, -6.0675, -7.1548, -6.2142, -8.2225, -5.4969, -4.5798 eV per atom.